No. 1
First-principles (PBE) data for crystalline Y3Si4Ru2 at its relaxed geometry, as listed in Alexandria.

a = 10.686 Å, b = 4.176 Å, c = 8.042 Å
α = 90.00°, β = 108.71°, γ = 90.00°
Space group C2/m (No. 12)
Symmetry-distinct sites (fractional):
Y: 0.000 0.000 0.000 (multiplicity 2)
Y: 0.117 0.500 0.697 (multiplicity 4)
Si: 0.101 0.000 0.410 (multiplicity 4)
Si: 0.221 0.500 0.078 (multiplicity 4)
Ru: 0.184 0.500 0.356 (multiplicity 4)

Values from the calculation:
Formation energy (no corrections): -850 meV per atom
Mass density: 5.678 g/cm3

***

No. 2
First-principles (PBE) data for crystalline YSi2Ru at its relaxed geometry, as listed in Alexandria.

a = 3.188 Å, b = 3.188 Å, c = 6.591 Å
α = 90.00°, β = 90.00°, γ = 90.00°
Space group P4mm (No. 99)
Symmetry-distinct sites (fractional):
Y: 0.000 0.000 0.000 (multiplicity 1)
Si: 0.000 0.000 0.493 (multiplicity 1)
Si: 0.500 0.500 0.703 (multiplicity 1)
Ru: 0.500 0.500 0.330 (multiplicity 1)

Values from the calculation:
Formation energy (no corrections): -452 meV per atom
Mass density: 6.101 g/cm3

***

No. 3
First-principles (PBE) data for crystalline Y4SiRu at its relaxed geometry, as listed in Alexandria.

a = 8.401 Å, b = 8.401 Å, c = 8.401 Å
α = 90.00°, β = 90.00°, γ = 90.00°
Space group F-43m (No. 216)
Symmetry-distinct sites (fractional):
Y: 0.124 0.124 0.124 (multiplicity 16)
Si: 0.000 0.000 0.500 (multiplicity 4)
Ru: 0.250 0.250 0.750 (multiplicity 4)

Values from the calculation:
Formation energy (no corrections): 762 meV per atom
Mass density: 5.431 g/cm3

***

No. 4
First-principles (PBE) data for crystalline YSi2Ru at its relaxed geometry, as listed in Alexandria.

a = 7.025 Å, b = 3.997 Å, c = 9.983 Å
α = 90.00°, β = 90.00°, γ = 90.00°
Space group Pnma (No. 62)
Symmetry-distinct sites (fractional):
Y: 0.150 0.250 0.126 (multiplicity 4)
Si: 0.150 0.250 0.817 (multiplicity 4)
Si: 0.197 0.250 0.426 (multiplicity 4)
Ru: 0.014 0.750 0.389 (multiplicity 4)

Values from the calculation:
Formation energy (no corrections): -824 meV per atom
Mass density: 5.832 g/cm3

***

No. 5
First-principles (PBE) data for crystalline YSi2Ru at its relaxed geometry, as listed in Alexandria.

a = 4.621 Å, b = 4.621 Å, c = 15.872 Å
α = 90.00°, β = 90.00°, γ = 90.00°
Space group I-42d (No. 122)
Symmetry-distinct sites (fractional):
Y: 0.000 0.000 0.000 (multiplicity 4)
Si: 0.058 0.250 0.625 (multiplicity 8)
Ru: 0.000 0.000 0.500 (multiplicity 4)

Values from the calculation:
Formation energy (no corrections): -326 meV per atom
Mass density: 4.824 g/cm3

***

No. 6
First-principles (PBE) data for crystalline YSi2Ru3 at its relaxed geometry, as listed in Alexandria.

a = 5.5484 Å, b = 5.5484 Å, c = 3.6524 Å
α = 90.00°, β = 90.00°, γ = 120.00°
Space group P6/mmm (No. 191)
Symmetry-distinct sites (fractional):
Y: 0.0000 0.0000 0.0000 (multiplicity 1)
Si: 0.3333 0.6667 0.0000 (multiplicity 2)
Ru: 0.0000 0.5000 0.5000 (multiplicity 3)

Values from the calculation:
Formation energy (no corrections): -668 meV per atom
Mass density: 7.645 g/cm3

***

No. 7
First-principles (PBE) data for crystalline Y2Si4Ru3 at its relaxed geometry, as listed in Alexandria.

a = 5.764 Å, b = 14.593 Å, c = 7.014 Å
α = 90.00°, β = 90.00°, γ = 90.00°
Space group Cmce (No. 64)
Symmetry-distinct sites (fractional):
Y: 0.000 0.111 0.093 (multiplicity 8)
Si: 0.000 0.180 0.480 (multiplicity 8)
Si: 0.250 0.061 0.750 (multiplicity 8)
Ru: 0.000 0.000 0.500 (multiplicity 4)
Ru: 0.250 0.227 0.750 (multiplicity 8)

Values from the calculation:
Formation energy (no corrections): -752 meV per atom
Mass density: 6.680 g/cm3
Offset from the most stable computed form: 13 meV per atom

***

No. 8
First-principles (PBE) data for crystalline Y2Si2Ru at its relaxed geometry, as listed in Alexandria.

a = 3.475 Å, b = 3.475 Å, c = 17.034 Å
α = 90.00°, β = 90.00°, γ = 90.00°
Space group I4/mmm (No. 139)
Symmetry-distinct sites (fractional):
Y: 0.000 0.000 0.099 (multiplicity 4)
Si: 0.000 0.500 0.250 (multiplicity 4)
Ru: 0.000 0.000 0.500 (multiplicity 2)

Values from the calculation:
Formation energy (no corrections): -267 meV per atom
Mass density: 5.409 g/cm3